No. 1
PuPaGa2O8 | PBE | optimized geometry

For the calculated volume, the calculation gives 13.46 Å³/atom. Its total magnetization is 3.0 μB per cell. As for the symmetry: No. 119. The value obtained for the uncorrected formation energy is -2530 meV per atom.

```
data_PuPaGa2O8
_chemical_formula_sum 'Pu1 Pa1 Ga2 O8'
_space_group_name_H-M_alt 'P 1'
_space_group_IT_number 1
_cell_length_a 5.943
_cell_length_b 5.943
_cell_length_c 5.943
_cell_angle_alpha 108.69
_cell_angle_beta 108.69
_cell_angle_gamma 111.05
loop_
_space_group_symop_operation_xyz
'x,y,z'
loop_
_atom_site_label
_atom_site_fract_x
_atom_site_fract_y
_atom_site_fract_z
O1 0.746 0.056 0.690
O2 0.305 0.115 0.809
O3 0.367 0.056 0.310
O4 0.305 0.496 0.191
O5 0.504 0.695 0.809
O6 0.885 0.695 0.191
O7 0.944 0.254 0.310
O8 0.944 0.633 0.690
Pu1 0.250 0.750 0.500
Pa1 0.000 0.000 0.000
Ga1 0.750 0.250 0.500
Ga2 0.500 0.500 0.000
```

=====

No. 2
Rb2PaGa2O6 | PBE | optimized geometry

For the calculated volume, the calculation gives 18.01 Å³/atom. Its total magnetization is 1.0 μB per cell. As for the symmetry: No. 12. The value obtained for the uncorrected formation energy is -2255 meV per atom.

```
data_Rb2PaGa2O6
_chemical_formula_sum 'Rb2 Pa1 Ga2 O6'
_space_group_name_H-M_alt 'P 1'
_space_group_IT_number 1
_cell_length_a 6.141
_cell_length_b 6.125
_cell_length_c 7.087
_cell_angle_alpha 116.30
_cell_angle_beta 90.00
_cell_angle_gamma 120.08
loop_
_space_group_symop_operation_xyz
'x,y,z'
loop_
_atom_site_label
_atom_site_fract_x
_atom_site_fract_y
_atom_site_fract_z
Rb1 0.287 0.575 0.832
Rb2 0.713 0.425 0.168
O1 0.262 0.523 0.335
O2 0.240 0.977 0.270
O3 0.738 0.477 0.665
O4 0.760 0.023 0.730
O5 0.263 0.023 0.730
O6 0.737 0.977 0.270
Ga1 0.061 0.123 0.218
Ga2 0.939 0.877 0.782
Pa1 0.500 0.000 0.500
```

=====

No. 3
RbPa2GaO8 | PBE | optimized geometry

For the calculated volume, the calculation gives 15.81 Å³/atom. Its total magnetization is 1.9 μB per cell. As for the symmetry: No. 164. The value obtained for the uncorrected formation energy is -2266 meV per atom.

```
data_RbPa2GaO8
_chemical_formula_sum 'Rb1 Pa2 Ga1 O8'
_space_group_name_H-M_alt 'P 1'
_space_group_IT_number 1
_cell_length_a 5.105
_cell_length_b 5.105
_cell_length_c 8.407
_cell_angle_alpha 90.00
_cell_angle_beta 90.00
_cell_angle_gamma 120.00
loop_
_space_group_symop_operation_xyz
'x,y,z'
loop_
_atom_site_label
_atom_site_fract_x
_atom_site_fract_y
_atom_site_fract_z
O1 0.822 0.645 0.870
O2 0.822 0.178 0.870
O3 0.645 0.822 0.130
O4 0.178 0.355 0.130
O5 0.333 0.667 0.641
O6 0.667 0.333 0.359
O7 0.178 0.822 0.130
O8 0.355 0.178 0.870
Pa1 0.333 0.667 0.864
Pa2 0.667 0.333 0.136
Ga1 0.000 0.000 0.000
Rb1 0.000 0.000 0.500
```